No. 1
First-principles (GGA-PBE) data for DyThBi2 after structural relaxation, as listed in Alexandria via LeMat-Bulk.

Lattice parameters (Å, degrees): 5.738 5.738 3.639 90.00 90.00 90.00
Space group P4/mmm (No. 123)
Inequivalent atoms, fractional coordinates:
Dy1 0.000 0.000 0.000 (multiplicity 1)
Th1 0.500 0.500 0.000 (multiplicity 1)
Bi1 0.000 0.500 0.500 (multiplicity 2)

relative energy among the computed polymorphs	0.62	eV/f.u.
energy of formation	-0.56	eV per atom

=====

No. 2
First-principles (GGA-PBE) data for PmYHgRu after structural relaxation, as listed in Alexandria via LeMat-Bulk.

Lattice parameters (Å, degrees): 7.213 7.213 7.213 90.00 90.00 90.00
Space group F-43m (No. 216)
Inequivalent atoms, fractional coordinates:
Pm1 0.000 0.000 0.000 (multiplicity 4)
Y1 0.000 0.000 0.500 (multiplicity 4)
Hg1 0.250 0.250 0.750 (multiplicity 4)
Ru1 0.250 0.250 0.250 (multiplicity 4)

relative energy among the computed polymorphs	0.41	eV/f.u.
energy of formation	-0.31	eV per atom

=====

No. 3
First-principles (GGA-PBE) data for NbGa2PSe after structural relaxation, as listed in Alexandria via LeMat-Bulk.

Lattice parameters (Å, degrees): 5.241 5.241 4.678 90.00 90.00 90.00
Space group P4/mmm (No. 123)
Inequivalent atoms, fractional coordinates:
Nb1 0.000 0.000 0.000 (multiplicity 1)
Ga1 0.000 0.500 0.000 (multiplicity 2)
P1 0.000 0.000 0.500 (multiplicity 1)
Se1 0.500 0.500 0.500 (multiplicity 1)

formation energy (no corrections)	0.498	eV/atom

=====

No. 4
First-principles (GGA-PBE) data for Tm6SiGe2Se3 after structural relaxation, as listed in Alexandria via LeMat-Bulk.

Lattice parameters (Å, degrees): 17.804 4.069 8.177 90.00 103.90 90.00
Space group C2/m (No. 12)
Inequivalent atoms, fractional coordinates:
Tm1 0.003 0.000 0.240 (multiplicity 4)
Tm2 0.163 0.500 0.091 (multiplicity 4)
Tm3 0.170 0.500 0.575 (multiplicity 4)
Si1 0.000 0.500 0.000 (multiplicity 2)
Ge1 0.167 0.000 0.333 (multiplicity 4)
Se1 0.000 0.500 0.500 (multiplicity 2)
Se2 0.167 0.000 0.833 (multiplicity 4)

formation energy (no corrections)	-1.318	eV/atom

=====

No. 5
First-principles (GGA-PBE) data for BC2 after structural relaxation, as listed in Alexandria via LeMat-Bulk.

Lattice parameters (Å, degrees): 3.651 4.548 5.273 72.16 89.73 68.97
Space group P-1 (No. 2)
Inequivalent atoms, fractional coordinates:
B1 0.055 0.217 0.443 (multiplicity 2)
B2 0.328 0.510 0.160 (multiplicity 2)
C1 0.054 0.157 0.958 (multiplicity 2)
C2 0.300 0.155 0.196 (multiplicity 2)
C3 0.309 0.146 0.720 (multiplicity 2)
C4 0.368 0.487 0.620 (multiplicity 2)

relative energy among the computed polymorphs	0.15	eV/f.u.
energy of formation	0.29	eV per atom

=====

No. 6
First-principles (GGA-PBE) data for V2ZnInP after structural relaxation, as listed in Alexandria via LeMat-Bulk.

Lattice parameters (Å, degrees): 4.560 4.560 4.560 90.00 90.00 90.00
Space group P4/mmm (No. 123)
Inequivalent atoms, fractional coordinates:
V1 0.000 0.500 0.000 (multiplicity 2)
Zn1 0.000 0.000 0.500 (multiplicity 1)
In1 0.500 0.500 0.500 (multiplicity 1)
P1 0.000 0.000 0.000 (multiplicity 1)

energy of formation	0.26	eV per atom

=====

No. 7
First-principles (GGA-PBE) data for NbInI2 after structural relaxation, as listed in Alexandria via LeMat-Bulk.

Lattice parameters (Å, degrees): 7.423 7.423 7.423 90.00 90.00 90.00
Space group Fm-3m (No. 225)
Inequivalent atoms, fractional coordinates:
Nb1 0.000 0.000 0.000 (multiplicity 4)
In1 0.000 0.000 0.500 (multiplicity 4)
I1 0.250 0.250 0.250 (multiplicity 8)

relative energy among the computed polymorphs	1.52	eV/f.u.
formation energy (no corrections)	0.523	eV/atom

=====

No. 8
First-principles (GGA-PBE) data for Tb7PrY4 after structural relaxation, as listed in Alexandria via LeMat-Bulk.

Lattice parameters (Å, degrees): 6.250 7.215 8.896 89.95 76.33 89.93
Space group P-1 (No. 2)
Inequivalent atoms, fractional coordinates:
Tb1 0.000 0.000 0.000 (multiplicity 1)
Tb2 0.222 0.500 0.334 (multiplicity 2)
Tb3 0.278 0.249 0.665 (multiplicity 2)
Tb4 0.499 0.249 0.999 (multiplicity 2)
Pr1 0.000 0.500 0.000 (multiplicity 1)
Y1 0.221 0.000 0.334 (multiplicity 2)
Y2 0.280 0.751 0.665 (multiplicity 2)

relative energy among the computed polymorphs	0.00	eV/f.u.
energy of formation	0.00	eV per atom